Rb2NdMnS4 | PBE | relaxed

Cell lengths 8.2513, 8.2513, 8.5602 Å; angles 117.42, 117.42, 89.41 degrees
With the nearest neighbours (Å) after each atom.
Fractional coordinates of all 16 atoms:
Rb1 0.5000 0.0000 0.0000  4 S 3.10
Rb2 0.5000 0.0000 0.5000  4 S 3.10
Rb3 0.0000 0.0000 0.5000  6 S 3.17-3.49
Rb4 0.5000 0.5000 0.0000  6 S 3.17-3.49
Nd1 0.0000 0.5000 0.0000  6 S 2.82-2.94
Nd2 0.0000 0.5000 0.5000  6 S 2.82-2.94
Mn1 0.5000 0.5000 0.5000  4 S 2.38-2.46
Mn2 0.0000 0.0000 0.0000  4 S 2.38-2.46
S1 0.1741 0.7547 0.9455  1 Mn 2.46
S2 0.7453 0.3259 0.5545  1 Mn 2.46
S3 0.2547 0.6741 0.4455  1 Mn 2.46
S4 0.8259 0.2453 0.0545  1 Mn 2.46
S5 0.8181 0.7939 0.0180  1 Mn 2.38
S6 0.7061 0.6819 0.4820  1 Mn 2.38
S7 0.2939 0.3181 0.5180  1 Mn 2.38
S8 0.1819 0.2061 0.9820  1 Mn 2.38

Properties
uncorrected energy	-5.211	eV/atom
M_tot	7.98	μB/cell
uncorrected formation energy	-898	kJ/mol of formula units